RbCe2PdSe4: relaxed, GGA-PBE.

Output
- DOS at the Fermi energy (states/eV/cell) = 20.5
- raw formation energy (meV per atom) = -1493
- total DFT energy (no corrections) (eV/atom) = -5.489

a = 4.2729 Å, b = 7.5928 Å, c = 14.5802 Å
α = 90.00°, β = 90.00°, γ = 106.34°
Last column: nearest neighbours and their distance in Å.
Positions (direct):
Rb: 0.1130 0.2260 0.7500  6 Se 3.34-3.49
Rb: 0.8870 0.7740 0.2500  6 Se 3.34-3.49
Ce: 0.3665 0.7330 0.5674  6 Se 2.85-3.05
Ce: 0.6335 0.2670 0.0674  6 Se 2.85-3.05
Ce: 0.6335 0.2670 0.4326  6 Se 2.85-3.05
Ce: 0.3665 0.7330 0.9326  6 Se 2.85-3.05
Pd: 0.8401 0.6802 0.7500  4 Se 2.56-2.58
Pd: 0.1599 0.3198 0.2500  4 Se 2.56-2.58
Se: 0.2632 0.5264 0.1063  1 Pd 2.58
Se: 0.7368 0.4736 0.6063  1 Pd 2.58
Se: 0.7368 0.4736 0.8937  1 Pd 2.58
Se: 0.2632 0.5264 0.3937  1 Pd 2.58
Se: 0.0000 0.0000 0.5000  4 Ce 3.05
Se: 0.0000 0.0000 0.0000  4 Ce 3.05
Se: 0.4367 0.8734 0.7500  2 Pd 2.56, 2 Ce 2.85
Se: 0.5633 0.1266 0.2500  2 Pd 2.56, 2 Ce 2.85